[1]
## DyLu2Hg (PBE-GGA)

Data for a relaxed structure of DyLu2Hg.

For the total energy, the calculation gives -57.98 eV per cell. The calculation puts the calculated volume at 27.28 A^3/atom.

The structure belongs to space group Ama2 (No. 40); the cell edges are 5.576, 11.247 and 6.960 Å and the angles 90.00°, 90.00° and 90.00°. The distinct sites, in fractional coordinates, are Dy at (0.250, 0.120, 0.000), Lu at (0.250, 0.162, 0.515), Lu at (0.250, 0.404, 0.795) and Hg at (0.250, 0.376, 0.250).


[2]
## DyMgHg (PBE-GGA)

Data for a relaxed structure of DyMgHg.

For the total energy, the calculation gives -28.22 eV per cell. The calculation puts the calculated volume at 27.65 A^3/atom.

The structure belongs to space group F-43m (No. 216); the cell edges are 6.923, 6.923 and 6.923 Å and the angles 90.00°, 90.00° and 90.00°. The distinct sites, in fractional coordinates, are Dy at (0.000, 0.000, 0.000), Mg at (0.000, 0.000, 0.500) and Hg at (0.250, 0.250, 0.250).


[3]
## DyMg2Hg (PBE-GGA)

Data for a relaxed structure of DyMg2Hg.

For the total energy, the calculation gives -8.77 eV per cell. The calculation puts the calculated volume at 23.32 A^3/atom.

The structure belongs to space group Pmm2 (No. 25); the cell edges are 4.284, 4.666 and 4.666 Å and the angles 90.00°, 90.00° and 90.00°. The distinct sites, in fractional coordinates, are Dy at (0.000, 0.000, 0.000), Mg at (0.500, 0.000, 0.500), Mg at (0.500, 0.500, 0.995) and Hg at (0.000, 0.500, 0.495).


[4]
## DyMgHg (PBE-GGA)

Data for a relaxed structure of DyMgHg.

For the total energy, the calculation gives -23.27 eV per cell. The calculation puts the calculated volume at 29.34 A^3/atom.

The structure belongs to space group F-43m (No. 216); the cell edges are 7.061, 7.061 and 7.061 Å and the angles 90.00°, 90.00° and 90.00°. The distinct sites, in fractional coordinates, are Dy at (0.000, 0.000, 0.000), Mg at (0.250, 0.250, 0.250) and Hg at (0.250, 0.250, 0.750).


[5]
## NdDy2Mg3Tl2Hg (PBE-GGA)

Data for a relaxed structure of NdDy2Mg3Tl2Hg.

For the total energy, the calculation gives -54.14 eV per cell. The calculation puts the calculated volume at 25.59 A^3/atom.

The structure belongs to space group Amm2 (No. 38); the cell edges are 4.642, 13.199 and 7.519 Å and the angles 90.00°, 90.00° and 90.00°. The distinct sites, in fractional coordinates, are Nd at (0.000, 0.000, 0.000), Dy at (0.000, 0.209, 0.628), Mg at (0.500, 0.000, 0.660), Mg at (0.500, 0.119, 0.302), Tl at (0.500, 0.170, 0.918) and Hg at (0.000, 0.000, 0.428).


[6]
## Dy3Mg3HgPd2 (PBE-GGA)

Data for a relaxed structure of Dy3Mg3HgPd2.

For the total energy, the calculation gives -34.24 eV per cell. The calculation puts the calculated volume at 22.46 A^3/atom.

The structure belongs to space group P-62m (No. 189); the cell edges are 7.5300, 7.5300 and 4.1157 Å and the angles 90.00°, 90.00° and 120.00°. The distinct sites, in fractional coordinates, are Dy at (0.0000, 0.4199, 0.0000), Mg at (0.0000, 0.7447, 0.5000), Hg at (0.0000, 0.0000, 0.0000) and Pd at (0.3333, 0.6667, 0.5000).


[7]
## Pr2DyMg3Tl2Hg (PBE-GGA)

Data for a relaxed structure of Pr2DyMg3Tl2Hg.

For the total energy, the calculation gives -54.66 eV per cell. The calculation puts the calculated volume at 26.55 A^3/atom.

The structure belongs to space group Amm2 (No. 38); the cell edges are 4.701, 13.166 and 7.722 Å and the angles 90.00°, 90.00° and 90.00°. The distinct sites, in fractional coordinates, are Pr at (0.000, 0.208, 0.000), Dy at (0.000, 0.000, 0.626), Mg at (0.500, 0.000, 0.974), Mg at (0.500, 0.119, 0.330), Tl at (0.500, 0.163, 0.708) and Hg at (0.000, 0.000, 0.220).


[8]
## Dy3Mg3TlHg2 (PBE-GGA)

Data for a relaxed structure of Dy3Mg3TlHg2.

For the total energy, the calculation gives -24.62 eV per cell. The calculation puts the calculated volume at 24.84 A^3/atom.

The structure belongs to space group P-62m (No. 189); the cell edges are 7.4840, 7.4840 and 4.6096 Å and the angles 90.00°, 90.00° and 120.00°. The distinct sites, in fractional coordinates, are Dy at (0.0000, 0.4270, 0.0000), Mg at (0.0000, 0.7532, 0.5000), Tl at (0.0000, 0.0000, 0.0000) and Hg at (0.3333, 0.6667, 0.5000).


[9]
## Dy2TmMg3Tl2Hg (PBE-GGA)

Data for a relaxed structure of Dy2TmMg3Tl2Hg.

For the total energy, the calculation gives -53.22 eV per cell. The calculation puts the calculated volume at 24.83 A^3/atom.

The structure belongs to space group Amm2 (No. 38); the cell edges are 4.590, 12.945 and 7.523 Å and the angles 90.00°, 90.00° and 90.00°. The distinct sites, in fractional coordinates, are Dy at (0.000, 0.211, 0.000), Tm at (0.000, 0.000, 0.367), Mg at (0.500, 0.000, 0.026), Mg at (0.500, 0.119, 0.669), Tl at (0.500, 0.166, 0.289) and Hg at (0.000, 0.000, 0.785).


[10]
## DyY2Mg3Tl2Hg (PBE-GGA)

Data for a relaxed structure of DyY2Mg3Tl2Hg.

For the total energy, the calculation gives -61.43 eV per cell. The calculation puts the calculated volume at 25.06 A^3/atom.

The structure belongs to space group Amm2 (No. 38); the cell edges are 4.599, 13.028 and 7.529 Å and the angles 90.00°, 90.00° and 90.00°. The distinct sites, in fractional coordinates, are Dy at (0.000, 0.000, 0.000), Y at (0.000, 0.210, 0.369), Mg at (0.500, 0.000, 0.341), Mg at (0.500, 0.119, 0.699), Tl at (0.500, 0.166, 0.079) and Hg at (0.000, 0.000, 0.580).


[11]
## Dy3Mg3Zn2Hg (PBE-GGA)

Data for a relaxed structure of Dy3Mg3Zn2Hg.

For the total energy, the calculation gives -24.04 eV per cell. The calculation puts the calculated volume at 23.29 A^3/atom.

The structure belongs to space group P-62m (No. 189); the cell edges are 7.5612, 7.5612 and 4.2343 Å and the angles 90.00°, 90.00° and 120.00°. The distinct sites, in fractional coordinates, are Dy at (0.0000, 0.4174, 0.0000), Mg at (0.0000, 0.7465, 0.5000), Zn at (0.3333, 0.6667, 0.5000) and Hg at (0.0000, 0.0000, 0.0000).


[12]
## Dy3Mg3ZnHg2 (PBE-GGA)

Data for a relaxed structure of Dy3Mg3ZnHg2.

For the total energy, the calculation gives -23.57 eV per cell. The calculation puts the calculated volume at 24.04 A^3/atom.

The structure belongs to space group P-62m (No. 189); the cell edges are 7.7972, 7.7972 and 4.1085 Å and the angles 90.00°, 90.00° and 120.00°. The distinct sites, in fractional coordinates, are Dy at (0.0000, 0.4084, 0.0000), Mg at (0.0000, 0.7563, 0.5000), Zn at (0.0000, 0.0000, 0.0000) and Hg at (0.3333, 0.6667, 0.5000).


Which of these has the lowest calculated volume?
Dy3Mg3HgPd2


Look up the calculated volume of the third one.
23.32 A^3/atom